# 1
Entry from the Alexandria database: a relaxed Pm2TmHg4 crystal (PBE).

Properties
ΔH_f (0 K): -0.348 eV per atom
space group: R-3m (166)
polymorph energy (0 for the lowest one): 0.0 meV/atom

a = 9.4063 Å, b = 9.4063 Å, c = 9.4063 Å
α = 31.55°, β = 31.55°, γ = 31.55°
Last column: nearest neighbours and their distance in Å.
Element x y z (fractional)
Pm1 0.2445 0.2445 0.2445  8 Hg 3.13-3.37
Pm2 0.7555 0.7555 0.7555  8 Hg 3.13-3.37
Tm1 0.0000 0.0000 0.0000  8 Hg 3.11-3.41
Hg1 0.1271 0.1271 0.1271  4 Pm 3.13-3.14, 1 Tm 3.41
Hg2 0.3703 0.3703 0.3703  3 Tm 3.11, 4 Pm 3.26-3.37
Hg3 0.6297 0.6297 0.6297  3 Tm 3.11, 4 Pm 3.26-3.37
Hg4 0.8729 0.8729 0.8729  4 Pm 3.13-3.14, 1 Tm 3.41

***

# 2
Entry from the Alexandria database: a relaxed Pm3Tm2Hg4 crystal (PBE).

Properties
ΔH_f (0 K): -0.266 eV per atom
space group: Cmce (64)

a = 10.1749 Å, b = 10.1749 Å, c = 7.9255 Å
α = 90.00°, β = 90.00°, γ = 140.61°
Last column: nearest neighbours and their distance in Å.
Element x y z (fractional)
Pm1 0.0000 0.0000 0.0000  6 Hg 2.98-3.05
Pm2 0.0100 0.4900 0.2500  5 Hg 3.08-3.27, 2 Pm 3.43
Pm3 0.4900 0.0100 0.7500  5 Hg 3.08-3.27, 2 Pm 3.43
Pm4 0.5000 0.5000 0.5000  6 Hg 2.98-3.05
Pm5 0.5100 0.9900 0.2500  5 Hg 3.08-3.27, 2 Pm 3.43
Pm6 0.9900 0.5100 0.7500  5 Hg 3.08-3.27, 2 Pm 3.43
Tm1 0.0927 0.9073 0.4146  3 Hg 3.18-3.22
Tm2 0.4073 0.5927 0.9146  3 Hg 3.18-3.22
Tm3 0.5927 0.4073 0.0854  3 Hg 3.18-3.22
Tm4 0.9073 0.0927 0.5854  3 Hg 3.18-3.22
Hg1 0.1583 0.8417 0.0406  5 Pm 3.05-3.27, 1 Tm 3.22, 2 Hg 3.29
Hg2 0.1756 0.3244 0.2500  3 Pm 2.98-3.17, 2 Tm 3.18, 2 Hg 3.29
Hg3 0.3244 0.1756 0.7500  3 Pm 2.98-3.17, 2 Tm 3.18, 2 Hg 3.29
Hg4 0.3417 0.6583 0.5406  5 Pm 3.05-3.27, 1 Tm 3.22, 2 Hg 3.29
Hg5 0.6583 0.3417 0.4594  5 Pm 3.05-3.27, 1 Tm 3.22, 2 Hg 3.29
Hg6 0.6756 0.8244 0.2500  3 Pm 2.98-3.17, 2 Tm 3.18, 2 Hg 3.29
Hg7 0.8244 0.6756 0.7500  3 Pm 2.98-3.17, 2 Tm 3.18, 2 Hg 3.29
Hg8 0.8417 0.1583 0.9594  5 Pm 3.05-3.27, 1 Tm 3.22, 2 Hg 3.29